(A)
Compound: Rb2CSe
Source: the Alexandria database
Functional: PBE-GGA
Structure: optimized geometry

a b c (Å): 8.0682 8.0682 8.0682
angles (deg): 90.00 90.00 90.00
With the nearest neighbours (Å) after each atom.
Space group Fm-3m (No. 225)
Asymmetric unit:
Rb (0.2500, 0.2500, 0.2500) x8  4 Se 3.49, 4 C 3.49
C (0.0000, 0.0000, 0.0000) x4  8 Rb 3.49
Se (0.0000, 0.0000, 0.5000) x4  8 Rb 3.49

Properties
Density, g/cm3: 3.3

=====

(B)
Compound: Rb2CSe
Source: the Alexandria database
Functional: PBE-GGA
Structure: optimized geometry

a b c (Å): 6.6132 6.6132 18.0469
angles (deg): 90.00 90.00 90.00
With the nearest neighbours (Å) after each atom.
Space group I-42d (No. 122)
Asymmetric unit:
Rb (0.2245, 0.2500, 0.1250) x8  2 C 3.17, 2 Se 3.34
C (0.0000, 0.0000, 0.0000) x4  4 Rb 3.17
Se (0.0000, 0.0000, 0.5000) x4  4 Rb 3.34

Properties
Density, g/cm3: 2.2

=====

Which structure loses on stability? (B) does.